Entry 1:
# Ti2SbRh, relaxed, DFT PBE-GGA
data_Ti2SbRh
_chemical_formula_sum 'Ti2 Sb1 Rh1'
_cell_length_a 3.9905
_cell_length_b 3.9905
_cell_length_c 4.2069
_cell_angle_alpha 90.00
_cell_angle_beta 90.00
_cell_angle_gamma 90.00
_space_group_name_H-M_alt 'P 4/m m m'
_space_group_IT_number 123
_space_group_name_Hall '-P 4 2'
loop_
_atom_site_label
_atom_site_type_symbol
_atom_site_fract_x
_atom_site_fract_y
_atom_site_fract_z
Ti1 Ti 0.0000 0.5000 0.0000
Sb1 Sb 0.0000 0.0000 0.5000
Rh1 Rh 0.5000 0.5000 0.5000
# - Formation energy from raw total energies: -0.5415 eV per atom
# - M_tot: 0.00 μB per atom

=====

Entry 2:
# Ti2SbRh, relaxed, DFT PBE-GGA
data_Ti2SbRh
_chemical_formula_sum 'Ti8 Sb4 Rh4'
_cell_length_a 7.2759
_cell_length_b 7.2759
_cell_length_c 5.6222
_cell_angle_alpha 90.00
_cell_angle_beta 90.00
_cell_angle_gamma 90.00
_space_group_name_H-M_alt 'I -4 2 d'
_space_group_IT_number 122
_space_group_name_Hall 'I -4 2bw'
loop_
_atom_site_label
_atom_site_type_symbol
_atom_site_fract_x
_atom_site_fract_y
_atom_site_fract_z
Ti1 Ti 0.2117 0.2500 0.1250
Sb1 Sb 0.0000 0.0000 0.5000
Rh1 Rh 0.0000 0.0000 0.0000
# - Formation energy from raw total energies: -0.2566 eV per atom
# - M_tot: 0.00 μB per atom

=====

Entry 3:
# Ti7SbRh4, relaxed, DFT PBE-GGA
data_Ti7SbRh4
_chemical_formula_sum 'Ti14 Sb2 Rh8'
_cell_length_a 12.2621
_cell_length_b 5.0003
_cell_length_c 8.0317
_cell_angle_alpha 90.00
_cell_angle_beta 123.32
_cell_angle_gamma 90.00
_space_group_name_H-M_alt 'C 1 2/m 1'
_space_group_IT_number 12
loop_
_space_group_symop_operation_xyz
'x,y,z'
'-x,-y,-z'
'-x,y,-z'
'x,-y,z'
'x+1/2,y+1/2,z'
'-x+1/2,-y+1/2,-z'
'-x+1/2,y+1/2,-z'
'x+1/2,-y+1/2,z'
loop_
_atom_site_label
_atom_site_type_symbol
_atom_site_fract_x
_atom_site_fract_y
_atom_site_fract_z
Ti1 Ti 0.0000 0.0000 0.0000
Ti2 Ti 0.0652 0.5000 0.4062
Ti3 Ti 0.2089 0.5000 0.8877
Ti4 Ti 0.2272 0.0000 0.6816
Sb1 Sb 0.0000 0.5000 0.0000
Rh1 Rh 0.0536 0.0000 0.7279
Rh2 Rh 0.2048 0.0000 0.3478
# - Formation energy from raw total energies: -0.2833 eV per atom
# - M_tot: 0.12 μB per atom

=====

Entry 4:
# TlSbRh2, relaxed, DFT PBE-GGA
data_TlSbRh2
_chemical_formula_sum 'Tl2 Sb2 Rh4'
_cell_length_a 9.9652
_cell_length_b 3.3950
_cell_length_c 4.4870
_cell_angle_alpha 90.00
_cell_angle_beta 100.80
_cell_angle_gamma 90.00
_space_group_name_H-M_alt 'C 1 m 1'
_space_group_IT_number 8
loop_
_space_group_symop_operation_xyz
'x,y,z'
'x,-y,z'
'x+1/2,y+1/2,z'
'x+1/2,-y+1/2,z'
loop_
_atom_site_label
_atom_site_type_symbol
_atom_site_fract_x
_atom_site_fract_y
_atom_site_fract_z
Tl1 Tl 0.0000 0.0000 0.0000
Sb1 Sb 0.2503 0.5000 0.4144
Rh1 Rh 0.2639 0.0000 0.9151
Rh2 Rh 0.4727 0.0000 0.4915
# - Formation energy from raw total energies: -0.0803 eV per atom
# - M_tot: 0.00 μB per atom
# - Offset from the most stable computed form: 0.000 eV/atom

=====

Entry 5:
# Tl2SbRh, relaxed, DFT PBE-GGA
data_Tl2SbRh
_chemical_formula_sum 'Tl4 Sb2 Rh2'
_cell_length_a 5.8542
_cell_length_b 11.2022
_cell_length_c 3.5591
_cell_angle_alpha 90.00
_cell_angle_beta 125.44
_cell_angle_gamma 90.00
_space_group_name_H-M_alt 'C 1 2/m 1'
_space_group_IT_number 12
loop_
_space_group_symop_operation_xyz
'x,y,z'
'-x,-y,-z'
'-x,y,-z'
'x,-y,z'
'x+1/2,y+1/2,z'
'-x+1/2,-y+1/2,-z'
'-x+1/2,y+1/2,-z'
'x+1/2,-y+1/2,z'
loop_
_atom_site_label
_atom_site_type_symbol
_atom_site_fract_x
_atom_site_fract_y
_atom_site_fract_z
Tl1 Tl 0.2500 0.2500 0.0000
Sb1 Sb 0.0000 0.0000 0.5000
Rh1 Rh 0.0000 0.5000 0.5000
# - Formation energy from raw total energies: 0.3088 eV per atom
# - M_tot: 0.00 μB per atom
# - Offset from the most stable computed form: 0.382 eV/atom

=====

Entry 6:
# TlSbRh2, relaxed, DFT PBE-GGA
data_TlSbRh2
_chemical_formula_sum 'Tl3 Sb3 Rh6'
_cell_length_a 3.3107
_cell_length_b 3.3107
_cell_length_c 25.9247
_cell_angle_alpha 90.00
_cell_angle_beta 90.00
_cell_angle_gamma 120.00
_space_group_name_H-M_alt 'R 3 m'
_space_group_IT_number 160
_space_group_name_Hall 'R 3 -2"'
loop_
_atom_site_label
_atom_site_type_symbol
_atom_site_fract_x
_atom_site_fract_y
_atom_site_fract_z
Tl1 Tl 0.0000 0.0000 0.0000
Sb1 Sb 0.0000 0.0000 0.2243
Rh1 Rh 0.0000 0.0000 0.4905
Rh2 Rh 0.0000 0.0000 0.7442
# - Formation energy from raw total energies: 0.2378 eV per atom
# - M_tot: 0.00 μB per atom
# - Offset from the most stable computed form: 0.318 eV/atom

=====

Entry 7:
# TlSbRh2, relaxed, DFT PBE-GGA
data_TlSbRh2
_chemical_formula_sum 'Tl4 Sb4 Rh8'
_cell_length_a 6.6199
_cell_length_b 6.6199
_cell_length_c 6.6199
_cell_angle_alpha 90.00
_cell_angle_beta 90.00
_cell_angle_gamma 90.00
_space_group_name_H-M_alt 'F m -3 m'
_space_group_IT_number 225
_space_group_name_Hall '-F 4 2 3'
loop_
_atom_site_label
_atom_site_type_symbol
_atom_site_fract_x
_atom_site_fract_y
_atom_site_fract_z
Tl1 Tl 0.0000 0.0000 0.0000
Sb1 Sb 0.0000 0.0000 0.5000
Rh1 Rh 0.2500 0.2500 0.2500
# - Formation energy from raw total energies: -0.0087 eV per atom
# - M_tot: 0.00 μB per atom
# - Offset from the most stable computed form: 0.072 eV/atom

=====

Entry 8:
# TlSbRh2, relaxed, DFT PBE-GGA
data_TlSbRh2
_chemical_formula_sum 'Tl1 Sb1 Rh2'
_cell_length_a 3.7003
_cell_length_b 3.7003
_cell_length_c 5.5941
_cell_angle_alpha 90.00
_cell_angle_beta 90.00
_cell_angle_gamma 90.00
_space_group_name_H-M_alt 'P 4 m m'
_space_group_IT_number 99
loop_
_space_group_symop_operation_xyz
'x,y,z'
'-y,x,z'
'-x,-y,z'
'y,-x,z'
'-x,y,z'
'y,x,z'
'x,-y,z'
'-y,-x,z'
loop_
_atom_site_label
_atom_site_type_symbol
_atom_site_fract_x
_atom_site_fract_y
_atom_site_fract_z
Tl1 Tl 0.0000 0.0000 0.0000
Sb1 Sb 0.5000 0.5000 0.6332
Rh1 Rh 0.0000 0.0000 0.4919
Rh2 Rh 0.5000 0.5000 0.1580
# - Formation energy from raw total energies: -0.0310 eV per atom
# - M_tot: 0.00 μB per atom
# - Offset from the most stable computed form: 0.049 eV/atom

=====

Fermi-level density of states values, unit states/eV/f.u., following the record order: 3.92; 3.95; 16.32; 1.96; 2.36; 3.81; 4.77; 3.87.
Electronic total energy values, unit eV per cell, following the record order: -29.4; -113.2; -184.4; -43.0; -29.9; -60.7; -84.9; -21.3.